BaAlCu3Se4 | PBE-GGA | optimized geometry

a b c (Å): 6.2064 6.2064 6.2064
angles (deg): 90.00 90.00 90.00
With the nearest neighbours (Å) after each atom.
Space group P-43m (No. 215)
Inequivalent atoms, fractional coordinates:
Ba1 0.0000 0.0000 0.0000 [1 per cell]  4 Se 3.03
Al1 0.5000 0.5000 0.5000 [1 per cell]  4 Se 2.35
Cu1 0.0000 0.5000 0.5000 [3 per cell]  4 Se 2.59
Se1 0.2816 0.2816 0.7184 [4 per cell]  1 Al 2.35, 3 Cu 2.59

Results
Uncorrected energy, eV per atom: -4.17
Formation energy from raw total energies, meV/atom: -624

=====

As2OsW | PBE-GGA | optimized geometry

a b c (Å): 2.9225 2.9225 30.9998
angles (deg): 90.00 90.00 120.00
With the nearest neighbours (Å) after each atom.
Space group R3m (No. 160, hexagonal axes)
Inequivalent atoms, fractional coordinates:
As1 0.0000 0.0000 0.0000 [3 per cell]  3 Os 2.54
As2 0.0000 0.0000 0.1999 [3 per cell]  3 W 2.69, 6 As 2.92
Os1 0.0000 0.0000 0.7280 [3 per cell]  3 As 2.54, 3 W 2.77
W1 0.0000 0.0000 0.4656 [3 per cell]  3 As 2.69, 3 Os 2.77, 6 W 2.92

Results
Uncorrected energy, eV per atom: -8.19
Formation enthalpy at 0 K, meV/atom: 180